A relaxed structure of CrAsNO2, computed with GGA+U.

total energy	-29.41	eV for the cell shown

Cell lengths 3.6170, 3.6170, 4.1045 Å; angles 90.00, 90.00, 90.00 degrees
With the nearest neighbours (Å) after each atom.
Sites, in units of the cell vectors:
Cr: 0.0000 0.0000 0.0000  4 O 1.81
As: 0.5000 0.5000 0.5000  4 N 2.56, 8 O 2.74
N: 0.0000 0.0000 0.5000  2 Cr 2.05
O: 0.0000 0.5000 0.0000  2 Cr 1.81
O: 0.5000 0.0000 0.0000  2 Cr 1.81